(1)
Compound: Pm5PrSi3
Source: the Alexandria database
Functional: PBE-GGA
Structure: relaxed

Properties
ρ	5.088	g cm⁻³
calculated volume	1240	Å³/cell
final energy	-5.23	eV per atom

Unit cell a=13.115 b=9.670 c=10.686 alpha=90.00 beta=113.75 gamma=90.00
Space group C2/m (No. 12)
One atom of each set of equivalent atoms:
1 Pm 0.000 0.200 0.000 (multiplicity 4)
2 Pm 0.072 0.000 0.371 (multiplicity 4)
3 Pm 0.166 0.300 0.668 (multiplicity 8)
4 Pm 0.233 0.500 0.031 (multiplicity 4)
5 Pr 0.104 0.500 0.303 (multiplicity 4)
6 Si 0.000 0.500 0.000 (multiplicity 2)
7 Si 0.000 0.500 0.500 (multiplicity 2)
8 Si 0.162 0.000 0.670 (multiplicity 4)
9 Si 0.167 0.000 0.167 (multiplicity 4)

(2)
Compound: Pm2PrSi
Source: the Alexandria database
Functional: PBE-GGA
Structure: relaxed

Properties
ρ	5.756	g cm⁻³
ΔE to the lowest computed polymorph	76	kJ/mol of formula units
calculated volume	397	Å³/cell
final energy	-5.09	eV per atom

Unit cell a=4.0257 b=4.0257 c=28.3017 alpha=90.00 beta=90.00 gamma=120.00
Space group R3m (No. 160, hexagonal axes)
One atom of each set of equivalent atoms:
1 Pm 0.0000 0.0000 0.0000 (multiplicity 3)
2 Pm 0.0000 0.0000 0.2123 (multiplicity 3)
3 Pr 0.0000 0.0000 0.4415 (multiplicity 3)
4 Si 0.0000 0.0000 0.6056 (multiplicity 3)

(3)
Compound: Pm6Pr2Si
Source: the Alexandria database
Functional: PBE-GGA
Structure: relaxed

Properties
ρ	6.534	g cm⁻³
calculated volume	300	Å³/cell
final energy	-4.80	eV per atom

Unit cell a=3.6497 b=3.6497 c=25.9938 alpha=90.00 beta=90.00 gamma=120.00
Space group P-6m2 (No. 187)
One atom of each set of equivalent atoms:
1 Pm 0.0000 0.0000 0.0667 (multiplicity 2)
2 Pm 0.0000 0.0000 0.2980 (multiplicity 2)
3 Pm 0.3333 0.6667 0.4157 (multiplicity 2)
4 Pr 0.3333 0.6667 0.1801 (multiplicity 2)
5 Si 0.0000 0.0000 0.5000 (multiplicity 1)

Q: Which value of calculated volume does entry 2 give?
A: 397 Å³/cell